Record 1
! AcTh2Ge6, optimized geometry, DFT PBE-GGA; values from VASP
! Energy above the lowest structure with this stoichiometry in meV per atom: 0
! M_tot in μB per formula unit: 0.0
! Space-group type: P6/mmm
&SYSTEM
  ibrav = 0, nat = 9, ntyp = 3
/
ATOMIC_SPECIES
Ac 227.00 Ac.upf
Th 232.04 Th.upf
Ge 72.64 Ge.upf
CELL_PARAMETERS angstrom
7.750 0.000 0.000
-3.875 6.712 0.000
0.000 0.000 4.173
ATOMIC_POSITIONS crystal
Ac 0.000 0.000 0.000
Th 0.333 0.667 0.000
Th 0.667 0.333 0.000
Ge 0.000 0.339 0.500
Ge 0.000 0.661 0.500
Ge 0.339 0.000 0.500
Ge 0.339 0.339 0.500
Ge 0.661 0.000 0.500
Ge 0.661 0.661 0.500

=====

Record 2
! Ac2Th3Ge4, optimized geometry, DFT PBE-GGA; values from VASP
! M_tot in μB per formula unit: 0.0
! Space-group type: P2_1/c
&SYSTEM
  ibrav = 0, nat = 18, ntyp = 3
/
ATOMIC_SPECIES
Ac 227.00 Ac.upf
Th 232.04 Th.upf
Ge 72.64 Ge.upf
CELL_PARAMETERS angstrom
8.304 0.000 0.000
0.000 8.246 0.000
-3.026 0.000 7.564
ATOMIC_POSITIONS crystal
Ac 0.197 0.177 0.064
Ac 0.197 0.323 0.564
Ac 0.803 0.677 0.436
Ac 0.803 0.823 0.936
Th 0.240 0.661 0.234
Th 0.240 0.839 0.734
Th 0.500 0.000 0.500
Th 0.500 0.500 0.000
Th 0.760 0.161 0.266
Th 0.760 0.339 0.766
Ge 0.094 0.540 0.839
Ge 0.094 0.960 0.339
Ge 0.500 0.132 0.870
Ge 0.500 0.368 0.370
Ge 0.500 0.632 0.630
Ge 0.500 0.868 0.130
Ge 0.906 0.040 0.661
Ge 0.906 0.460 0.161

=====

Record 3
! Ac2ThGe, optimized geometry, DFT PBE-GGA; values from VASP
! Energy above the lowest structure with this stoichiometry in meV per atom: 0
! M_tot in μB per formula unit: 0.0
! Space-group type: P4/mmm
&SYSTEM
  ibrav = 0, nat = 4, ntyp = 3
/
ATOMIC_SPECIES
Ac 227.00 Ac.upf
Th 232.04 Th.upf
Ge 72.64 Ge.upf
CELL_PARAMETERS angstrom
5.066 0.000 0.000
0.000 5.066 0.000
0.000 0.000 5.046
ATOMIC_POSITIONS crystal
Ac 0.000 0.500 0.000
Ac 0.500 0.000 0.000
Th 0.000 0.000 0.500
Ge 0.500 0.500 0.500

=====

Record 4
! AcTh2Ge, optimized geometry, DFT PBE-GGA; values from VASP
! Energy above the lowest structure with this stoichiometry in meV per atom: 209
! M_tot in μB per formula unit: 0.0
! Space-group type: R-3m
&SYSTEM
  ibrav = 0, nat = 12, ntyp = 3
/
ATOMIC_SPECIES
Ac 227.00 Ac.upf
Th 232.04 Th.upf
Ge 72.64 Ge.upf
CELL_PARAMETERS angstrom
3.914 0.000 0.000
-1.957 3.389 0.000
0.000 0.000 32.802
ATOMIC_POSITIONS crystal
Ac 0.000 0.000 0.000
Ac 0.333 0.667 0.667
Ac 0.667 0.333 0.333
Th 0.000 0.000 0.111
Th 0.000 0.000 0.889
Th 0.333 0.667 0.556
Th 0.333 0.667 0.778
Th 0.667 0.333 0.222
Th 0.667 0.333 0.444
Ge 0.000 0.000 0.500
Ge 0.333 0.667 0.167
Ge 0.667 0.333 0.833

=====

Record 5
! AcThZnGe, optimized geometry, DFT PBE-GGA; values from VASP
! M_tot in μB per formula unit: 0.0
! Space-group type: F-43m
&SYSTEM
  ibrav = 0, nat = 16, ntyp = 4
/
ATOMIC_SPECIES
Ac 227.00 Ac.upf
Th 232.04 Th.upf
Zn 65.41 Zn.upf
Ge 72.64 Ge.upf
CELL_PARAMETERS angstrom
7.565 0.000 0.000
0.000 7.565 0.000
0.000 0.000 7.565
ATOMIC_POSITIONS crystal
Ac 0.000 0.000 0.000
Ac 0.000 0.500 0.500
Ac 0.500 0.000 0.500
Ac 0.500 0.500 0.000
Th 0.000 0.000 0.500
Th 0.000 0.500 0.000
Th 0.500 0.000 0.000
Th 0.500 0.500 0.500
Zn 0.250 0.250 0.750
Zn 0.250 0.750 0.250
Zn 0.750 0.250 0.250
Zn 0.750 0.750 0.750
Ge 0.250 0.250 0.250
Ge 0.250 0.750 0.750
Ge 0.750 0.250 0.750
Ge 0.750 0.750 0.250

=====

Record 6
! AcThZn2Ge2, optimized geometry, DFT PBE-GGA; values from VASP
! M_tot in μB per formula unit: 0.0
! Space-group type: P-3m1
&SYSTEM
  ibrav = 0, nat = 6, ntyp = 4
/
ATOMIC_SPECIES
Ac 227.00 Ac.upf
Th 232.04 Th.upf
Zn 65.41 Zn.upf
Ge 72.64 Ge.upf
CELL_PARAMETERS angstrom
4.282 0.000 0.000
-2.141 3.708 0.000
0.000 0.000 8.888
ATOMIC_POSITIONS crystal
Ac 0.000 0.000 0.000
Th 0.000 0.000 0.500
Zn 0.333 0.667 0.732
Zn 0.667 0.333 0.268
Ge 0.333 0.667 0.264
Ge 0.667 0.333 0.736

=====

Record 7
! AcTiGe3, optimized geometry, DFT PBE-GGA; values from VASP
! Energy above the lowest structure with this stoichiometry in meV per atom: 0
! M_tot in μB per formula unit: 0.0
! Space-group type: P6_3/mmc
&SYSTEM
  ibrav = 0, nat = 10, ntyp = 3
/
ATOMIC_SPECIES
Ac 227.00 Ac.upf
Ti 47.87 Ti.upf
Ge 72.64 Ge.upf
CELL_PARAMETERS angstrom
6.436 0.000 0.000
-3.218 5.574 0.000
0.000 0.000 6.023
ATOMIC_POSITIONS crystal
Ac 0.333 0.667 0.250
Ac 0.667 0.333 0.750
Ti 0.000 0.000 0.000
Ti 0.000 0.000 0.500
Ge 0.196 0.392 0.750
Ge 0.196 0.804 0.750
Ge 0.392 0.196 0.250
Ge 0.608 0.804 0.750
Ge 0.804 0.196 0.250
Ge 0.804 0.608 0.250

=====

Record 8
! Ac5TiGe4, optimized geometry, DFT PBE-GGA; values from VASP
! M_tot in μB per formula unit: 0.0
! Space-group type: C2/m
&SYSTEM
  ibrav = 0, nat = 10, ntyp = 3
/
ATOMIC_SPECIES
Ac 227.00 Ac.upf
Ti 47.87 Ti.upf
Ge 72.64 Ge.upf
CELL_PARAMETERS angstrom
9.460 -2.157 0.000
9.460 2.157 0.000
-2.080 0.000 8.088
ATOMIC_POSITIONS crystal
Ac 0.000 0.000 0.000
Ac 0.325 0.325 0.674
Ac 0.339 0.339 0.156
Ac 0.661 0.661 0.844
Ac 0.675 0.675 0.326
Ti 0.000 0.000 0.500
Ge 0.148 0.148 0.573
Ge 0.495 0.495 0.699
Ge 0.505 0.505 0.301
Ge 0.852 0.852 0.427

=====

Record 9
! Ac2TiGe3, optimized geometry, DFT PBE-GGA; values from VASP
! M_tot in μB per formula unit: 0.0
! Space-group type: C2/c
&SYSTEM
  ibrav = 0, nat = 12, ntyp = 3
/
ATOMIC_SPECIES
Ac 227.00 Ac.upf
Ti 47.87 Ti.upf
Ge 72.64 Ge.upf
CELL_PARAMETERS angstrom
5.332 -3.846 0.000
5.332 3.846 0.000
-1.856 0.000 7.906
ATOMIC_POSITIONS crystal
Ac 0.025 0.665 0.851
Ac 0.335 0.975 0.649
Ac 0.665 0.025 0.351
Ac 0.975 0.335 0.149
Ti 0.449 0.551 0.250
Ti 0.551 0.449 0.750
Ge 0.131 0.869 0.250
Ge 0.250 0.464 0.498
Ge 0.464 0.250 0.998
Ge 0.536 0.750 0.002
Ge 0.750 0.536 0.502
Ge 0.869 0.131 0.750

=====

Record 10
! Ac4TiGe5, optimized geometry, DFT PBE-GGA; values from VASP
! M_tot in μB per formula unit: 0.0
! Space-group type: I4
&SYSTEM
  ibrav = 0, nat = 10, ntyp = 3
/
ATOMIC_SPECIES
Ac 227.00 Ac.upf
Ti 47.87 Ti.upf
Ge 72.64 Ge.upf
CELL_PARAMETERS angstrom
-4.876 4.876 3.189
4.876 -4.876 3.189
4.876 4.876 -3.189
ATOMIC_POSITIONS crystal
Ac 0.086 0.301 0.387
Ac 0.301 0.914 0.215
Ac 0.699 0.086 0.785
Ac 0.914 0.699 0.613
Ti 0.507 0.507 0.000
Ge 0.240 0.588 0.833
Ge 0.407 0.240 0.652
Ge 0.588 0.755 0.348
Ge 0.755 0.407 0.167
Ge 0.921 0.921 0.000

=====

Record 11
! Ac2TiGe5, optimized geometry, DFT PBE-GGA; values from VASP
! M_tot in μB per formula unit: 0.0
! Space-group type: I4mm
&SYSTEM
  ibrav = 0, nat = 16, ntyp = 3
/
ATOMIC_SPECIES
Ac 227.00 Ac.upf
Ti 47.87 Ti.upf
Ge 72.64 Ge.upf
CELL_PARAMETERS angstrom
6.370 0.000 0.000
0.000 6.370 0.000
0.000 0.000 9.656
ATOMIC_POSITIONS crystal
Ac 0.000 0.500 0.000
Ac 0.000 0.500 0.500
Ac 0.500 0.000 0.000
Ac 0.500 0.000 0.500
Ti 0.000 0.000 0.277
Ti 0.500 0.500 0.777
Ge 0.000 0.000 0.543
Ge 0.211 0.211 0.750
Ge 0.211 0.789 0.750
Ge 0.289 0.289 0.250
Ge 0.289 0.711 0.250
Ge 0.500 0.500 0.043
Ge 0.711 0.289 0.250
Ge 0.711 0.711 0.250
Ge 0.789 0.211 0.750
Ge 0.789 0.789 0.750

=====

Record 12
! AcTiGe3, optimized geometry, DFT PBE-GGA; values from VASP
! Energy above the lowest structure with this stoichiometry in meV per atom: 265
! M_tot in μB per formula unit: 0.0
! Space-group type: Pm-3m
&SYSTEM
  ibrav = 0, nat = 5, ntyp = 3
/
ATOMIC_SPECIES
Ac 227.00 Ac.upf
Ti 47.87 Ti.upf
Ge 72.64 Ge.upf
CELL_PARAMETERS angstrom
4.934 0.000 0.000
0.000 4.934 0.000
0.000 0.000 4.934
ATOMIC_POSITIONS crystal
Ac 0.000 0.000 0.000
Ti 0.500 0.500 0.500
Ge 0.000 0.500 0.500
Ge 0.500 0.000 0.500
Ge 0.500 0.500 0.000

=====

Number 1: DFT formation energy -460 kJ/mol of formula units. Number 2: DFT formation energy -620 kJ/mol of formula units. Number 3: DFT formation energy -45 kJ/mol of formula units. Number 4: DFT formation energy 6 kJ/mol of formula units. Number 5: DFT formation energy -122 kJ/mol of formula units. Number 6: DFT formation energy -354 kJ/mol of formula units. Number 7: DFT formation energy -322 kJ/mol of formula units. Number 8: DFT formation energy -357 kJ/mol of formula units. Number 9: DFT formation energy -298 kJ/mol of formula units. Number 10: DFT formation energy -424 kJ/mol of formula units. Number 11: DFT formation energy -394 kJ/mol of formula units. Number 12: DFT formation energy -194 kJ/mol of formula units.